No. 1
# YPaCS, relaxed, DFT PBE-GGA
data_YPaCS
_cell_length_a 3.8941
_cell_length_b 3.8941
_cell_length_c 38.9739
_cell_angle_alpha 90.00
_cell_angle_beta 90.00
_cell_angle_gamma 120.00
_symmetry_space_group_name_H-M 'R -3 m'
_symmetry_Int_Tables_number 166
_symmetry_space_group_name_Hall '-R 3 2"'
loop_
_atom_site_label
_atom_site_type_symbol
_atom_site_fract_x
_atom_site_fract_y
_atom_site_fract_z
Y1 Y 0.0000 0.0000 0.2037
Pa1 Pa 0.0000 0.0000 0.3705
C1 C 0.0000 0.0000 0.3105
S1 S 0.0000 0.0000 0.0874
# **DOS at the Fermi energy**: 0.565 states/eV per atom
# **M_tot**: 0.63 μB/f.u.
# **Uncorrected formation energy**: -0.988 eV/atom

No. 2
# YPaCS2, relaxed, DFT PBE-GGA
data_YPaCS2
_cell_length_a 3.872
_cell_length_b 3.872
_cell_length_c 13.884
_cell_angle_alpha 90.00
_cell_angle_beta 90.00
_cell_angle_gamma 90.00
_symmetry_space_group_name_H-M 'P 4/n m m'
_symmetry_Int_Tables_number 129
loop_
_symmetry_equiv_pos_as_xyz
'x,y,z'
'-x,-y,-z'
'-y+1/2,x,z'
'y+1/2,-x,-z'
'-x+1/2,-y+1/2,z'
'x+1/2,y+1/2,-z'
'y,-x+1/2,z'
'-y,x+1/2,-z'
'x+1/2,-y,-z'
'-x+1/2,y,z'
'-y,-x,-z'
'y,x,z'
'-x,y+1/2,-z'
'x,-y+1/2,z'
'y+1/2,x+1/2,-z'
'-y+1/2,-x+1/2,z'
loop_
_atom_site_label
_atom_site_type_symbol
_atom_site_fract_x
_atom_site_fract_y
_atom_site_fract_z
Y1 Y 0.250 0.250 0.118
Pa1 Pa 0.250 0.250 0.589
C1 C 0.250 0.750 0.500
S1 S 0.250 0.250 0.305
S2 S 0.250 0.250 0.908
# **DOS at the Fermi energy**: 0.532 states/eV per atom
# **M_tot**: 0.00 μB/f.u.
# **Uncorrected formation energy**: -1.389 eV/atom

No. 3
# Pa2Sb2C, relaxed, DFT PBE-GGA
data_Pa2Sb2C
_cell_length_a 4.224
_cell_length_b 4.224
_cell_length_c 25.882
_cell_angle_alpha 90.00
_cell_angle_beta 90.00
_cell_angle_gamma 90.00
_symmetry_space_group_name_H-M 'I 41/a m d'
_symmetry_Int_Tables_number 141
loop_
_symmetry_equiv_pos_as_xyz
'x,y,z'
'-x,-y,-z'
'-y+1/4,x+3/4,z+1/4'
'y+1/4,-x+3/4,-z+1/4'
'-x+1/2,-y,z+1/2'
'x+1/2,y,-z+1/2'
'y+1/4,-x+1/4,z+3/4'
'-y+1/4,x+1/4,-z+3/4'
'x,-y,-z'
'-x,y,z'
'-y+1/4,-x+1/4,-z+3/4'
'y+1/4,x+1/4,z+3/4'
'-x+1/2,y,-z+1/2'
'x+1/2,-y,z+1/2'
'y+1/4,x+3/4,-z+1/4'
'-y+1/4,-x+3/4,z+1/4'
'x+1/2,y+1/2,z+1/2'
'-x+1/2,-y+1/2,-z+1/2'
'-y+3/4,x+1/4,z+3/4'
'y+3/4,-x+1/4,-z+3/4'
'-x,-y+1/2,z'
'x,y+1/2,-z'
'y+3/4,-x+3/4,z+1/4'
'-y+3/4,x+3/4,-z+1/4'
'x+1/2,-y+1/2,-z+1/2'
'-x+1/2,y+1/2,z+1/2'
'-y+3/4,-x+3/4,-z+1/4'
'y+3/4,x+3/4,z+1/4'
'-x,y+1/2,-z'
'x,-y+1/2,z'
'y+3/4,x+1/4,-z+3/4'
'-y+3/4,-x+1/4,z+3/4'
loop_
_atom_site_label
_atom_site_type_symbol
_atom_site_fract_x
_atom_site_fract_y
_atom_site_fract_z
Pa1 Pa 0.000 0.250 0.080
Sb1 Sb 0.000 0.250 0.207
C1 C 0.000 0.250 0.875
# **DOS at the Fermi energy**: 0.998 states/eV per atom
# **M_tot**: 0.00 μB/f.u.
# **Uncorrected formation energy**: -0.217 eV/atom

No. 4
# Pa6Sb3C, relaxed, DFT PBE-GGA
data_Pa6Sb3C
_cell_length_a 11.185
_cell_length_b 6.418
_cell_length_c 8.270
_cell_angle_alpha 90.00
_cell_angle_beta 119.30
_cell_angle_gamma 90.00
_symmetry_space_group_name_H-M 'C 1 2/m 1'
_symmetry_Int_Tables_number 12
_symmetry_space_group_name_Hall '-C 2y'
loop_
_atom_site_label
_atom_site_type_symbol
_atom_site_fract_x
_atom_site_fract_y
_atom_site_fract_z
Pa1 Pa 0.086 0.243 0.359
Pa2 Pa 0.185 0.000 0.812
Sb1 Sb 0.000 0.500 0.000
Sb2 Sb 0.200 0.500 0.744
C1 C 0.000 0.000 0.500
# **DOS at the Fermi energy**: 2.145 states/eV per atom
# **M_tot**: 0.00 μB/f.u.
# **Uncorrected formation energy**: -0.165 eV/atom

No. 5
# Pa4Sb5C, relaxed, DFT PBE-GGA
data_Pa4Sb5C
_cell_length_a 17.592
_cell_length_b 3.961
_cell_length_c 7.844
_cell_angle_alpha 90.00
_cell_angle_beta 95.91
_cell_angle_gamma 90.00
_symmetry_space_group_name_H-M 'C 1 2/m 1'
_symmetry_Int_Tables_number 12
_symmetry_space_group_name_Hall '-C 2y'
loop_
_atom_site_label
_atom_site_type_symbol
_atom_site_fract_x
_atom_site_fract_y
_atom_site_fract_z
Pa1 Pa 0.030 0.000 0.206
Pa2 Pa 0.132 0.500 0.912
Sb1 Sb 0.000 0.500 0.500
Sb2 Sb 0.137 0.000 0.599
Sb3 Sb 0.202 0.000 0.191
C1 C 0.000 0.500 0.000
# **DOS at the Fermi energy**: 1.370 states/eV per atom
# **M_tot**: 0.00 μB/f.u.
# **Uncorrected formation energy**: -0.233 eV/atom

No. 6
# Pa2SbC, relaxed, DFT PBE-GGA
data_Pa2SbC
_cell_length_a 3.7618
_cell_length_b 3.7618
_cell_length_c 21.5100
_cell_angle_alpha 90.00
_cell_angle_beta 90.00
_cell_angle_gamma 120.00
_symmetry_space_group_name_H-M 'R -3 m'
_symmetry_Int_Tables_number 166
_symmetry_space_group_name_Hall '-R 3 2"'
loop_
_atom_site_label
_atom_site_type_symbol
_atom_site_fract_x
_atom_site_fract_y
_atom_site_fract_z
Pa1 Pa 0.0000 0.0000 0.2290
Sb1 Sb 0.0000 0.0000 0.0000
C1 C 0.0000 0.0000 0.5000
# **DOS at the Fermi energy**: 1.288 states/eV per atom
# **Distance to the lowest polymorph of the same formula**: 0.000 eV per atom
# **M_tot**: 0.00 μB/f.u.
# **Uncorrected formation energy**: -0.430 eV/atom

No. 7
# Pa5Sb2C2, relaxed, DFT PBE-GGA
data_Pa5Sb2C2
_cell_length_a 14.156
_cell_length_b 4.466
_cell_length_c 7.940
_cell_angle_alpha 90.00
_cell_angle_beta 106.57
_cell_angle_gamma 90.00
_symmetry_space_group_name_H-M 'C 1 2/m 1'
_symmetry_Int_Tables_number 12
_symmetry_space_group_name_Hall '-C 2y'
loop_
_atom_site_label
_atom_site_type_symbol
_atom_site_fract_x
_atom_site_fract_y
_atom_site_fract_z
Pa1 Pa 0.000 0.000 0.000
Pa2 Pa 0.087 0.000 0.615
Pa3 Pa 0.156 0.500 0.998
Sb1 Sb 0.058 0.500 0.310
C1 C 0.170 0.000 0.914
# **DOS at the Fermi energy**: 1.705 states/eV per atom
# **M_tot**: 0.03 μB/f.u.
# **Uncorrected formation energy**: -0.072 eV/atom

No. 8
# Pa2SbC, relaxed, DFT PBE-GGA
data_Pa2SbC
_cell_length_a 3.3680
_cell_length_b 3.3680
_cell_length_c 25.5320
_cell_angle_alpha 90.00
_cell_angle_beta 90.00
_cell_angle_gamma 120.00
_symmetry_space_group_name_H-M 'R 3 m'
_symmetry_Int_Tables_number 160
_symmetry_space_group_name_Hall 'R 3 -2"'
loop_
_atom_site_label
_atom_site_type_symbol
_atom_site_fract_x
_atom_site_fract_y
_atom_site_fract_z
Pa1 Pa 0.0000 0.0000 0.0000
Pa2 Pa 0.0000 0.0000 0.1236
Sb1 Sb 0.0000 0.0000 0.5611
C1 C 0.0000 0.0000 0.3945
# **DOS at the Fermi energy**: 1.471 states/eV per atom
# **Distance to the lowest polymorph of the same formula**: 0.286 eV per atom
# **M_tot**: 0.00 μB/f.u.
# **Uncorrected formation energy**: -0.144 eV/atom

No. 9
# Pa2SbC, relaxed, DFT PBE-GGA
data_Pa2SbC
_cell_length_a 6.373
_cell_length_b 6.373
_cell_length_c 8.925
_cell_angle_alpha 90.00
_cell_angle_beta 90.10
_cell_angle_gamma 90.00
_symmetry_space_group_name_H-M 'C 1 2/m 1'
_symmetry_Int_Tables_number 12
_symmetry_space_group_name_Hall '-C 2y'
loop_
_atom_site_label
_atom_site_type_symbol
_atom_site_fract_x
_atom_site_fract_y
_atom_site_fract_z
Pa1 Pa 0.000 0.250 0.000
Pa2 Pa 0.249 0.000 0.651
Sb1 Sb 0.249 0.500 0.706
C1 C 0.250 0.000 0.902
# **DOS at the Fermi energy**: 1.562 states/eV per atom
# **Distance to the lowest polymorph of the same formula**: 0.044 eV per atom
# **M_tot**: 0.00 μB/f.u.
# **Uncorrected formation energy**: -0.386 eV/atom

No. 10
# Pa12Sb6C, relaxed, DFT PBE-GGA
data_Pa12Sb6C
_cell_length_a 11.5052
_cell_length_b 11.5052
_cell_length_c 12.4893
_cell_angle_alpha 90.00
_cell_angle_beta 90.00
_cell_angle_gamma 120.00
_symmetry_space_group_name_H-M 'R -3'
_symmetry_Int_Tables_number 148
_symmetry_space_group_name_Hall '-R 3'
loop_
_atom_site_label
_atom_site_type_symbol
_atom_site_fract_x
_atom_site_fract_y
_atom_site_fract_z
Pa1 Pa 0.0523 0.8697 0.3102
Pa2 Pa 0.0605 0.2037 0.8959
Sb1 Sb 0.0246 0.5885 0.2179
C1 C 0.0000 0.0000 0.0000
# **DOS at the Fermi energy**: 2.378 states/eV per atom
# **M_tot**: 5.90 μB/f.u.
# **Uncorrected formation energy**: -0.182 eV/atom

No. 11
# Pa5Sb4C, relaxed, DFT PBE-GGA
data_Pa5Sb4C
_cell_length_a 9.364
_cell_length_b 9.364
_cell_length_c 5.976
_cell_angle_alpha 90.00
_cell_angle_beta 90.00
_cell_angle_gamma 90.00
_symmetry_space_group_name_H-M 'I 4'
_symmetry_Int_Tables_number 79
_symmetry_space_group_name_Hall 'I 4'
loop_
_atom_site_label
_atom_site_type_symbol
_atom_site_fract_x
_atom_site_fract_y
_atom_site_fract_z
Pa1 Pa 0.000 0.000 0.000
Pa2 Pa 0.095 0.247 0.499
Sb1 Sb 0.078 0.316 0.999
C1 C 0.000 0.000 0.498
# **DOS at the Fermi energy**: 1.633 states/eV per atom
# **M_tot**: 0.00 μB/f.u.
# **Uncorrected formation energy**: -0.345 eV/atom